(1)
# PBE LiNdZnSe3, optimized geometry
data_LiNdZnSe3
_chemical_formula_sum 'Li4 Nd4 Zn4 Se12'
_space_group_name_H-M_alt 'P n m a'
_space_group_IT_number 62
_cell_length_a 8.251
_cell_length_b 4.162
_cell_length_c 17.153
_cell_angle_alpha 90.00
_cell_angle_beta 90.00
_cell_angle_gamma 90.00
loop_
_space_group_symop_operation_xyz
'x,y,z'
'-x,-y,-z'
'-x+1/2,-y,z+1/2'
'x+1/2,y,-z+1/2'
'x+1/2,-y+1/2,-z+1/2'
'-x+1/2,y+1/2,z+1/2'
'-x,y+1/2,-z'
'x,-y+1/2,z'
loop_
_atom_site_label
_atom_site_type_symbol
_atom_site_fract_x
_atom_site_fract_y
_atom_site_fract_z
Li1 Li 0.105 0.250 0.238
Nd1 Nd 0.234 0.250 0.551
Zn1 Zn 0.141 0.250 0.856
Se1 Se 0.002 0.250 0.089
Se2 Se 0.126 0.750 0.443
Se3 Se 0.190 0.250 0.719
# * polymorph energy (0 for the lowest one): 57 meV per atom

=====

(2)
# PBE LiNdZnSe3, optimized geometry
data_LiNdZnSe3
_chemical_formula_sum 'Li4 Nd4 Zn4 Se12'
_space_group_name_H-M_alt 'C 1 2/m 1'
_space_group_IT_number 12
_cell_length_a 19.555
_cell_length_b 4.045
_cell_length_c 7.904
_cell_angle_alpha 90.00
_cell_angle_beta 106.62
_cell_angle_gamma 90.00
loop_
_space_group_symop_operation_xyz
'x,y,z'
'-x,-y,-z'
'-x,y,-z'
'x,-y,z'
'x+1/2,y+1/2,z'
'-x+1/2,-y+1/2,-z'
'-x+1/2,y+1/2,-z'
'x+1/2,-y+1/2,z'
loop_
_atom_site_label
_atom_site_type_symbol
_atom_site_fract_x
_atom_site_fract_y
_atom_site_fract_z
Li1 Li 0.104 0.000 0.094
Nd1 Nd 0.179 0.000 0.609
Zn1 Zn 0.038 0.500 0.729
Se1 Se 0.000 0.000 0.500
Se2 Se 0.000 0.500 0.000
Se3 Se 0.166 0.500 0.863
Se4 Se 0.169 0.500 0.338
# * polymorph energy (0 for the lowest one): 113 meV per atom

=====

(3)
# PBE LiNdSi2, optimized geometry
data_LiNdSi2
_chemical_formula_sum 'Li4 Nd4 Si8'
_space_group_name_H-M_alt 'P n m a'
_space_group_IT_number 62
_cell_length_a 6.808
_cell_length_b 4.197
_cell_length_c 10.930
_cell_angle_alpha 90.00
_cell_angle_beta 90.00
_cell_angle_gamma 90.00
loop_
_space_group_symop_operation_xyz
'x,y,z'
'-x,-y,-z'
'-x+1/2,-y,z+1/2'
'x+1/2,y,-z+1/2'
'x+1/2,-y+1/2,-z+1/2'
'-x+1/2,y+1/2,z+1/2'
'-x,y+1/2,-z'
'x,-y+1/2,z'
loop_
_atom_site_label
_atom_site_type_symbol
_atom_site_fract_x
_atom_site_fract_y
_atom_site_fract_z
Li1 Li 0.134 0.250 0.057
Nd1 Nd 0.143 0.250 0.348
Si1 Si 0.031 0.250 0.835
Si2 Si 0.185 0.250 0.641
# * E: -4.983 eV per atom

=====

(4)
# PBE LiNdSn, optimized geometry
data_LiNdSn
_chemical_formula_sum 'Li4 Nd4 Sn4'
_space_group_name_H-M_alt 'P n m a'
_space_group_IT_number 62
_cell_length_a 7.677
_cell_length_b 4.745
_cell_length_c 8.231
_cell_angle_alpha 90.00
_cell_angle_beta 90.00
_cell_angle_gamma 90.00
loop_
_space_group_symop_operation_xyz
'x,y,z'
'-x,-y,-z'
'-x+1/2,-y,z+1/2'
'x+1/2,y,-z+1/2'
'x+1/2,-y+1/2,-z+1/2'
'-x+1/2,y+1/2,z+1/2'
'-x,y+1/2,-z'
'x,-y+1/2,z'
loop_
_atom_site_label
_atom_site_type_symbol
_atom_site_fract_x
_atom_site_fract_y
_atom_site_fract_z
Li1 Li 0.181 0.250 0.080
Nd1 Nd 0.001 0.250 0.721
Sn1 Sn 0.228 0.750 0.911
# * E: -4.228 eV per atom

=====

(5)
# PBE LiNdSn, optimized geometry
data_LiNdSn
_chemical_formula_sum 'Li4 Nd4 Sn4'
_space_group_name_H-M_alt 'F -4 3 m'
_space_group_IT_number 216
_space_group_name_Hall 'F -4 2 3'
_cell_length_a 7.204
_cell_length_b 7.204
_cell_length_c 7.204
_cell_angle_alpha 90.00
_cell_angle_beta 90.00
_cell_angle_gamma 90.00
loop_
_atom_site_label
_atom_site_type_symbol
_atom_site_fract_x
_atom_site_fract_y
_atom_site_fract_z
Li1 Li 0.000 0.000 0.000
Nd1 Nd 0.250 0.250 0.250
Sn1 Sn 0.000 0.000 0.500
# * E: -3.620 eV per atom

=====

(6)
# PBE LiNdSn, optimized geometry
data_LiNdSn
_chemical_formula_sum 'Li4 Nd4 Sn4'
_space_group_name_H-M_alt 'F -4 3 m'
_space_group_IT_number 216
_space_group_name_Hall 'F -4 2 3'
_cell_length_a 6.715
_cell_length_b 6.715
_cell_length_c 6.715
_cell_angle_alpha 90.00
_cell_angle_beta 90.00
_cell_angle_gamma 90.00
loop_
_atom_site_label
_atom_site_type_symbol
_atom_site_fract_x
_atom_site_fract_y
_atom_site_fract_z
Li1 Li 0.000 0.000 0.000
Nd1 Nd 0.250 0.250 0.750
Sn1 Sn 0.250 0.250 0.250
# * E: -4.061 eV per atom

=====

(7)
# PBE LiNdSn, optimized geometry
data_LiNdSn
_chemical_formula_sum 'Li2 Nd2 Sn2'
_space_group_name_H-M_alt 'P 63 m c'
_space_group_IT_number 186
_space_group_name_Hall 'P 6c -2c'
_cell_length_a 4.7599
_cell_length_b 4.7599
_cell_length_c 7.6494
_cell_angle_alpha 90.00
_cell_angle_beta 90.00
_cell_angle_gamma 120.00
loop_
_atom_site_label
_atom_site_type_symbol
_atom_site_fract_x
_atom_site_fract_y
_atom_site_fract_z
Li1 Li 0.3333 0.6667 0.0000
Nd1 Nd 0.0000 0.0000 0.2193
Sn1 Sn 0.3333 0.6667 0.4537
# * E: -4.222 eV per atom

=====

(8)
# PBE LiNdSn, optimized geometry
data_LiNdSn
_chemical_formula_sum 'Li2 Nd2 Sn2'
_space_group_name_H-M_alt 'P 63/m m c'
_space_group_IT_number 194
_space_group_name_Hall '-P 6c 2c'
_cell_length_a 5.3575
_cell_length_b 5.3575
_cell_length_c 6.4337
_cell_angle_alpha 90.00
_cell_angle_beta 90.00
_cell_angle_gamma 120.00
loop_
_atom_site_label
_atom_site_type_symbol
_atom_site_fract_x
_atom_site_fract_y
_atom_site_fract_z
Li1 Li 0.0000 0.0000 0.0000
Nd1 Nd 0.3333 0.6667 0.2500
Sn1 Sn 0.3333 0.6667 0.7500
# * E: -4.139 eV per atom

=====

(9)
# PBE Sr2Li3NdSn3, optimized geometry
data_Sr2Li3NdSn3
_chemical_formula_sum 'Sr2 Li3 Nd1 Sn3'
_space_group_name_H-M_alt 'P -6 m 2'
_space_group_IT_number 187
_space_group_name_Hall 'P -6 2'
_cell_length_a 4.9635
_cell_length_b 4.9635
_cell_length_c 11.5466
_cell_angle_alpha 90.00
_cell_angle_beta 90.00
_cell_angle_gamma 120.00
loop_
_atom_site_label
_atom_site_type_symbol
_atom_site_fract_x
_atom_site_fract_y
_atom_site_fract_z
Sr1 Sr 0.0000 0.0000 0.1646
Li1 Li 0.3333 0.6667 0.0000
Li2 Li 0.6667 0.3333 0.3227
Nd1 Nd 0.0000 0.0000 0.5000
Sn1 Sn 0.3333 0.6667 0.3629
Sn2 Sn 0.6667 0.3333 0.0000
# * E: -3.463 eV per atom

=====

(10)
# PBE SrLi3Nd2Sn3, optimized geometry
data_SrLi3Nd2Sn3
_chemical_formula_sum 'Sr1 Li3 Nd2 Sn3'
_space_group_name_H-M_alt 'P -6 m 2'
_space_group_IT_number 187
_space_group_name_Hall 'P -6 2'
_cell_length_a 4.8545
_cell_length_b 4.8545
_cell_length_c 11.6390
_cell_angle_alpha 90.00
_cell_angle_beta 90.00
_cell_angle_gamma 120.00
loop_
_atom_site_label
_atom_site_type_symbol
_atom_site_fract_x
_atom_site_fract_y
_atom_site_fract_z
Sr1 Sr 0.0000 0.0000 0.0000
Li1 Li 0.3333 0.6667 0.5000
Li2 Li 0.6667 0.3333 0.1990
Nd1 Nd 0.0000 0.0000 0.3362
Sn1 Sn 0.3333 0.6667 0.1926
Sn2 Sn 0.6667 0.3333 0.5000
# * E: -3.838 eV per atom

=====

Number 1: magnetic moment 0.0 Bohr magnetons per cell. Number 2: magnetic moment 0.0 Bohr magnetons per cell. Number 3: magnetic moment 0.0 Bohr magnetons per cell. Number 4: magnetic moment 0.0 Bohr magnetons per cell. Number 5: magnetic moment 0.0 Bohr magnetons per cell. Number 6: magnetic moment 0.0 Bohr magnetons per cell. Number 7: magnetic moment 0.0 Bohr magnetons per cell. Number 8: magnetic moment 0.0 Bohr magnetons per cell. Number 9: magnetic moment 0.0 Bohr magnetons per cell. Number 10: magnetic moment 0.0 Bohr magnetons per cell.